Compound: BaMn2IrS
Source: the Alexandria database
Functional: PBE
Structure: optimized geometry

Results
Its crystal system is tetragonal. The calculated volume comes out at 28.9 Å³/atom. The calculation puts the formation energy (no corrections) at 300.5 meV per atom. The density of states at the Fermi level comes out at 3.52 states/eV/f.u. The symmetry is P4/mmm, No. 123.

Unit cell a=4.828 b=6.208 c=4.828 alpha=90.00 beta=90.00 gamma=90.00
Positions (direct):
1 Mn 0.000 0.000 0.500
2 Mn 0.500 0.000 0.000
3 Ba 0.000 0.500 0.000
4 S 0.500 0.500 0.500
5 Ir 0.000 0.000 0.000